Entry 1:
Compound: LiTa3Cd
Source: Alexandria via LeMat-Bulk
Functional: PBEsol
Structure: relaxed

Lattice parameters (Å, degrees): 4.403 4.403 4.403 90.00 90.00 90.00
Element x y z (fractional)
Cd: 0.500 0.500 0.500
Li: 0.000 0.000 0.000
Ta: 0.500 0.000 0.000
Ta: 0.000 0.500 0.000
Ta: 0.000 0.000 0.500

Calculated values
The value obtained for the formation energy is 1.1261 eV/atom. The symmetry is Pm-3m, No. 221. The crystal system is cubic.

Entry 2:
Compound: LiTa2Cd
Source: Alexandria via LeMat-Bulk
Functional: PBEsol
Structure: relaxed

Lattice parameters (Å, degrees): 3.356 3.356 6.314 90.00 90.00 90.00
Element x y z (fractional)
Cd: 0.000 0.000 0.520
Ta: 0.500 0.500 0.223
Ta: 0.000 0.000 0.015
Li: 0.500 0.500 0.742

Calculated values
The value obtained for the formation energy is 0.3298 eV/atom. The symmetry is P4mm, No. 99. The crystal system is tetragonal.

Entry 3:
Compound: LiCdTc
Source: Alexandria via LeMat-Bulk
Functional: PBEsol
Structure: relaxed

Lattice parameters (Å, degrees): 2.642 2.642 6.976 100.92 100.92 90.00
Element x y z (fractional)
Cd: 0.999 0.999 0.999
Tc: 0.328 0.328 0.657
Li: 0.672 0.672 0.344

Calculated values
The value obtained for the formation energy is 0.2987 eV/atom. The symmetry is I4mm, No. 107. The crystal system is tetragonal.

Entry 4:
Compound: LiCdTc
Source: Alexandria via LeMat-Bulk
Functional: PBEsol
Structure: relaxed

Lattice parameters (Å, degrees): 2.742 2.742 7.236 90.00 90.00 120.00
Element x y z (fractional)
Li: 0.333 0.667 0.655
Cd: 0.000 0.000 0.000
Tc: 0.667 0.333 0.345

Calculated values
The value obtained for the formation energy is 0.2783 eV/atom. The symmetry is P3m1, No. 156. The crystal system is trigonal.

Entry 5:
Compound: LiCd2Tc
Source: Alexandria via LeMat-Bulk
Functional: PBEsol
Structure: relaxed

Lattice parameters (Å, degrees): 2.754 5.010 5.423 112.03 104.71 90.00
Element x y z (fractional)
Li: 0.503 0.419 0.005
Cd: 0.750 0.338 0.499
Cd: 0.997 0.903 0.993
Tc: 0.251 0.840 0.502

Calculated values
The value obtained for the formation energy is 0.2000 eV/atom. The symmetry is Cm, No. 8. The crystal system is monoclinic.

Entry 6:
Compound: LiCdTc
Source: Alexandria via LeMat-Bulk
Functional: PBEsol
Structure: relaxed

Lattice parameters (Å, degrees): 4.127 4.127 4.127 60.00 60.00 60.00
Element x y z (fractional)
Li: 0.250 0.250 0.250
Cd: 0.500 0.500 0.500
Tc: 0.000 0.000 0.000

Calculated values
The value obtained for the formation energy is 1.0071 eV/atom. The symmetry is F-43m, No. 216. The crystal system is cubic.

Entry 7:
Compound: Li2CdTe
Source: Alexandria via LeMat-Bulk
Functional: PBEsol
Structure: relaxed

Lattice parameters (Å, degrees): 3.919 4.521 4.521 90.00 90.00 90.00
Element x y z (fractional)
Li: 0.500 0.500 0.000
Li: 0.500 0.000 0.500
Te: 0.000 0.000 0.000
Cd: 0.000 0.500 0.500

Calculated values
The calculation puts the total energy at -2.695 eV/atom. The symmetry is P4/mmm, No. 123. The crystal system is tetragonal.

Entry 8:
Compound: LiCdTe2
Source: Alexandria via LeMat-Bulk
Functional: PBEsol
Structure: relaxed

Lattice parameters (Å, degrees): 4.854 5.413 4.854 63.37 90.00 116.63
Element x y z (fractional)
Te: 0.750 0.500 0.750
Te: 0.250 0.500 0.250
Li: 0.000 0.000 0.000
Cd: 0.500 0.000 0.500

Calculated values
The calculation puts the total energy at -2.773 eV/atom. The symmetry is I4/mmm, No. 139. The crystal system is tetragonal.

Entry 9:
Compound: LiCdTe2
Source: Alexandria via LeMat-Bulk
Functional: PBEsol
Structure: relaxed

Lattice parameters (Å, degrees): 4.270 5.172 5.172 104.82 103.00 103.00
Element x y z (fractional)
Te: 0.000 0.000 0.500
Te: 0.000 0.500 0.000
Cd: 0.500 0.000 0.000
Li: 0.500 0.500 0.500

Calculated values
The calculation puts the total energy at -2.896 eV/atom. The symmetry is C2/m, No. 12. The crystal system is monoclinic.

Entry 10:
Compound: LiCdTe2
Source: Alexandria via LeMat-Bulk
Functional: PBEsol
Structure: relaxed

Lattice parameters (Å, degrees): 3.131 3.131 10.189 90.00 90.00 90.00
Element x y z (fractional)
Li: 0.500 0.500 0.745
Cd: 0.000 0.000 0.531
Te: 0.500 0.500 0.285
Te: 0.000 0.000 0.939

Calculated values
The calculation puts the total energy at -2.748 eV/atom. The symmetry is P4mm, No. 99. The crystal system is tetragonal.

Entry 11:
Compound: LiCdTe2
Source: Alexandria via LeMat-Bulk
Functional: PBEsol
Structure: relaxed

Lattice parameters (Å, degrees): 3.254 3.254 11.163 81.62 81.62 60.00
Element x y z (fractional)
Li: 0.000 0.000 0.000
Te: 0.733 0.733 0.800
Te: 0.267 0.267 0.200
Cd: 0.500 0.500 0.500

Calculated values
The calculation puts the total energy at -2.734 eV/atom. The symmetry is R-3m, No. 166. The crystal system is trigonal.

Entry 12:
Compound: Li2CdTe
Source: Alexandria via LeMat-Bulk
Functional: PBEsol
Structure: relaxed

Lattice parameters (Å, degrees): 4.921 4.921 4.925 60.02 60.02 60.00
Element x y z (fractional)
Te: 0.500 0.500 0.500
Li: 0.750 0.750 0.751
Li: 0.250 0.250 0.249
Cd: 0.000 0.000 0.000

Calculated values
The calculation puts the total energy at -2.673 eV/atom. The symmetry is Fm-3m, No. 225. The crystal system is cubic.

Entry 13:
Compound: LiTiCd2
Source: Alexandria via LeMat-Bulk
Functional: PBEsol
Structure: relaxed

Lattice parameters (Å, degrees): 4.634 4.634 4.634 60.00 60.00 60.00
Element x y z (fractional)
Li: 0.000 0.000 0.000
Cd: 0.750 0.750 0.750
Cd: 0.250 0.250 0.250
Ti: 0.500 0.500 0.500

Calculated values
The value obtained for the formation energy is -0.0376 eV/atom. The symmetry is Fm-3m, No. 225. The crystal system is cubic.

Entry 14:
Compound: LiTlCd
Source: Alexandria via LeMat-Bulk
Functional: PBEsol
Structure: relaxed

Lattice parameters (Å, degrees): 3.185 3.188 6.630 104.65 103.93 89.87
Element x y z (fractional)
Cd: 0.985 0.989 0.969
Tl: 0.676 0.673 0.352
Li: 0.339 0.338 0.679

Calculated values
The value obtained for the formation energy is -0.1439 eV/atom. The symmetry is P1, No. 1. The crystal system is triclinic.

Entry 15:
Compound: LiTlCd2
Source: Alexandria via LeMat-Bulk
Functional: PBEsol
Structure: relaxed

Lattice parameters (Å, degrees): 3.193 4.118 6.433 90.00 90.00 90.00
Element x y z (fractional)
Tl: 0.500 0.500 0.734
Cd: 0.000 0.000 0.017
Cd: 0.500 0.500 0.258
Li: 0.000 0.000 0.491

Calculated values
The value obtained for the formation energy is -0.1063 eV/atom. The symmetry is Pmm2, No. 25. The crystal system is orthorhombic.

Entry 16:
Compound: LiTlCd2
Source: Alexandria via LeMat-Bulk
Functional: PBEsol
Structure: relaxed

Lattice parameters (Å, degrees): 4.321 4.321 4.520 90.00 90.00 90.00
Element x y z (fractional)
Tl: 0.000 0.000 0.500
Cd: 0.000 0.500 0.000
Cd: 0.500 0.000 0.000
Li: 0.500 0.500 0.500

Calculated values
The value obtained for the formation energy is -0.1251 eV/atom. The symmetry is P4/mmm, No. 123. The crystal system is tetragonal.

Entry 17:
Compound: Li2TlCd
Source: Alexandria via LeMat-Bulk
Functional: PBEsol
Structure: relaxed

Lattice parameters (Å, degrees): 3.528 3.528 6.279 90.00 90.00 90.00
Element x y z (fractional)
Li: 0.500 0.500 0.248
Li: 0.000 0.000 0.994
Cd: 0.500 0.500 0.782
Tl: 0.000 0.000 0.477

Calculated values
The value obtained for the formation energy is -0.1966 eV/atom. The symmetry is P4mm, No. 99. The crystal system is tetragonal.

Entry 18:
Compound: LiTlCd2
Source: Alexandria via LeMat-Bulk
Functional: PBEsol
Structure: relaxed

Lattice parameters (Å, degrees): 4.469 4.469 5.279 115.05 115.05 90.00
Element x y z (fractional)
Cd: 0.000 0.000 0.000
Cd: 0.750 0.250 0.500
Tl: 0.250 0.750 0.500
Li: 0.500 0.500 0.000

Calculated values
The value obtained for the formation energy is -0.1254 eV/atom. The symmetry is I-4m2, No. 119. The crystal system is tetragonal.

Entry 19:
Compound: LiTlCd4
Source: Alexandria via LeMat-Bulk
Functional: PBEsol
Structure: relaxed

Lattice parameters (Å, degrees): 5.794 5.794 5.794 60.00 60.00 60.00
Element x y z (fractional)
Cd: 0.376 0.376 0.376
Cd: 0.376 0.874 0.376
Cd: 0.376 0.376 0.874
Cd: 0.874 0.376 0.376
Tl: 0.000 0.000 0.000
Li: 0.750 0.750 0.750

Calculated values
The value obtained for the formation energy is -0.0455 eV/atom. The symmetry is F-43m, No. 216. The crystal system is cubic.

Entry 20:
Compound: LiTlCd2
Source: Alexandria via LeMat-Bulk
Functional: PBEsol
Structure: relaxed

Lattice parameters (Å, degrees): 3.186 5.177 5.225 90.00 88.63 90.00
Element x y z (fractional)
Li: 0.500 0.500 0.000
Tl: 0.000 0.500 0.500
Cd: 0.760 0.000 0.765
Cd: 0.240 0.000 0.235

Calculated values
The value obtained for the formation energy is -0.0951 eV/atom. The symmetry is P2/m, No. 10. The crystal system is monoclinic.

Number 1: DOS at the Fermi energy 6.43 states/eV/f.u.. Number 2: DOS at the Fermi energy 3.69 states/eV/f.u.. Number 3: DOS at the Fermi energy 1.21 states/eV/f.u.. Number 4: DOS at the Fermi energy 1.65 states/eV/f.u.. Number 5: DOS at the Fermi energy 1.62 states/eV/f.u.. Number 6: DOS at the Fermi energy 1.19 states/eV/f.u.. Number 7: DOS at the Fermi energy 1.10 states/eV/f.u.. Number 8: DOS at the Fermi energy 1.60 states/eV/f.u.. Number 9: DOS at the Fermi energy 1.02 states/eV/f.u.. Number 10: DOS at the Fermi energy 1.52 states/eV/f.u.. Number 11: DOS at the Fermi energy 1.90 states/eV/f.u.. Number 12: DOS at the Fermi energy 0.18 states/eV/f.u.. Number 13: DOS at the Fermi energy 2.28 states/eV/f.u.. Number 14: DOS at the Fermi energy 1.13 states/eV/f.u.. Number 15: DOS at the Fermi energy 1.51 states/eV/f.u.. Number 16: DOS at the Fermi energy 1.74 states/eV/f.u.. Number 17: DOS at the Fermi energy 1.38 states/eV/f.u.. Number 18: DOS at the Fermi energy 1.32 states/eV/f.u.. Number 19: DOS at the Fermi energy 1.73 states/eV/f.u.. Number 20: DOS at the Fermi energy 1.30 states/eV/f.u..